{
  "formula": "CeEr2Ni9",
  "functional": "PBE-GGA",
  "state": "relaxed",
  "cell": [[-0.959, 1.976, 4.436], [-4.376, -0.796, 2.170], [1.213, -6.237, 5.802]],
  "species": ["Ni", "Er", "Ni", "Ni", "Ce", "Ni", "Ni", "Ni", "Ni", "Ni", "Ni", "Er"],
  "fractional_positions": [[0.918, 0.416, 0.250], [0.860, 0.860, 0.419], [0.416, 0.918, 0.250], [0.584, 0.584, 0.750], [0.000, 0.000, 0.000], [0.082, 0.584, 0.750], [0.333, 0.333, 0.000], [0.500, 0.500, 0.500], [0.584, 0.082, 0.750], [0.416, 0.416, 0.250], [0.667, 0.667, 0.000], [0.140, 0.140, 0.581]],
  "dos_ef_per_ev_cell": 14.46,
  "e_form_ev_per_atom": -0.432,
  "crystal_system": "trigonal"
}